1.
A relaxed Sb2AsOs crystal, computed with PBE.

Summary:
Raw formation energy: 0.93 eV/f.u.

The structure in CIF format:
```
data_Sb2AsOs
_chemical_formula_sum 'Sb2 As1 Os1'
_space_group_name_H-M_alt 'P 4 m m'
_space_group_IT_number 99
_cell_length_a 3.096
_cell_length_b 3.096
_cell_length_c 9.097
_cell_angle_alpha 90.00
_cell_angle_beta 90.00
_cell_angle_gamma 90.00
loop_
_space_group_symop_operation_xyz
'x,y,z'
'-y,x,z'
'-x,-y,z'
'y,-x,z'
'-x,y,z'
'y,x,z'
'x,-y,z'
'-y,-x,z'
loop_
_atom_site_label
_atom_site_fract_x
_atom_site_fract_y
_atom_site_fract_z
Sb1 0.000 0.000 0.000
Sb2 0.500 0.500 0.316
As1 0.000 0.000 0.634
Os1 0.500 0.500 0.793
```



2.
A relaxed SbAs2Os crystal, computed with PBE.

Summary:
Raw formation energy: 1.47 eV/f.u.

The structure in CIF format:
```
data_SbAs2Os
_chemical_formula_sum 'Sb2 As4 Os2'
_space_group_name_H-M_alt 'I m m 2'
_space_group_IT_number 44
_cell_length_a 3.118
_cell_length_b 4.376
_cell_length_c 11.923
_cell_angle_alpha 90.00
_cell_angle_beta 90.00
_cell_angle_gamma 90.00
loop_
_space_group_symop_operation_xyz
'x,y,z'
'-x,-y,z'
'-x,y,z'
'x,-y,z'
'x+1/2,y+1/2,z+1/2'
'-x+1/2,-y+1/2,z+1/2'
'-x+1/2,y+1/2,z+1/2'
'x+1/2,-y+1/2,z+1/2'
loop_
_atom_site_label
_atom_site_fract_x
_atom_site_fract_y
_atom_site_fract_z
Sb1 0.000 0.000 0.000
As1 0.000 0.000 0.635
As2 0.000 0.500 0.807
Os1 0.000 0.500 0.303
```



3.
A relaxed SbAs2Os crystal, computed with PBE.

Summary:
Raw formation energy: 1.94 eV/f.u.

The structure in CIF format:
```
data_SbAs2Os
_chemical_formula_sum 'Sb2 As4 Os2'
_space_group_name_H-M_alt 'C m m m'
_space_group_IT_number 65
_space_group_name_Hall '-C 2 2'
_cell_length_a 3.044
_cell_length_b 5.219
_cell_length_c 10.210
_cell_angle_alpha 90.00
_cell_angle_beta 90.00
_cell_angle_gamma 90.00
loop_
_atom_site_label
_atom_site_fract_x
_atom_site_fract_y
_atom_site_fract_z
Sb1 0.000 0.000 0.000
As1 0.000 0.500 0.301
Os1 0.000 0.000 0.500
```



4.
A relaxed Sb2AsOs crystal, computed with PBE.

Summary:
Raw formation energy: 1.84 eV/f.u.

The structure in CIF format:
```
data_Sb2AsOs
_chemical_formula_sum 'Sb6 As3 Os3'
_space_group_name_H-M_alt 'R -3 m'
_space_group_IT_number 166
_space_group_name_Hall '-R 3 2"'
_cell_length_a 3.2753
_cell_length_b 3.2753
_cell_length_c 27.4241
_cell_angle_alpha 90.00
_cell_angle_beta 90.00
_cell_angle_gamma 120.00
loop_
_atom_site_label
_atom_site_fract_x
_atom_site_fract_y
_atom_site_fract_z
Sb1 0.0000 0.0000 0.2393
As1 0.0000 0.0000 0.0000
Os1 0.0000 0.0000 0.5000
```



5.
A relaxed Sb2AsOs crystal, computed with PBE.

Summary:
Raw formation energy: 1.47 eV/f.u.

The structure in CIF format:
```
data_Sb2AsOs
_chemical_formula_sum 'Sb4 As2 Os2'
_space_group_name_H-M_alt 'I m m 2'
_space_group_IT_number 44
_cell_length_a 3.165
_cell_length_b 4.778
_cell_length_c 11.645
_cell_angle_alpha 90.00
_cell_angle_beta 90.00
_cell_angle_gamma 90.00
loop_
_space_group_symop_operation_xyz
'x,y,z'
'-x,-y,z'
'-x,y,z'
'x,-y,z'
'x+1/2,y+1/2,z+1/2'
'-x+1/2,-y+1/2,z+1/2'
'-x+1/2,y+1/2,z+1/2'
'x+1/2,-y+1/2,z+1/2'
loop_
_atom_site_label
_atom_site_fract_x
_atom_site_fract_y
_atom_site_fract_z
Sb1 0.000 0.000 0.000
Sb2 0.000 0.500 0.198
As1 0.000 0.500 0.827
Os1 0.000 0.000 0.498
```



6.
A relaxed SbAs2Os crystal, computed with PBE.

Summary:
Raw formation energy: 1.53 eV/f.u.

The structure in CIF format:
```
data_SbAs2Os
_chemical_formula_sum 'Sb3 As6 Os3'
_space_group_name_H-M_alt 'R 3 m'
_space_group_IT_number 160
_space_group_name_Hall 'R 3 -2"'
_cell_length_a 3.1732
_cell_length_b 3.1732
_cell_length_c 26.8055
_cell_angle_alpha 90.00
_cell_angle_beta 90.00
_cell_angle_gamma 120.00
loop_
_atom_site_label
_atom_site_fract_x
_atom_site_fract_y
_atom_site_fract_z
Sb1 0.0000 0.0000 0.0000
As1 0.0000 0.0000 0.5223
As2 0.0000 0.0000 0.7654
Os1 0.0000 0.0000 0.2536
```



7.
A relaxed Sb2AsOs crystal, computed with PBE.

Summary:
Raw formation energy: 2.51 eV/f.u.

The structure in CIF format:
```
data_Sb2AsOs
_chemical_formula_sum 'Sb4 As2 Os2'
_space_group_name_H-M_alt 'C m m m'
_space_group_IT_number 65
_space_group_name_Hall '-C 2 2'
_cell_length_a 3.162
_cell_length_b 5.302
_cell_length_c 10.144
_cell_angle_alpha 90.00
_cell_angle_beta 90.00
_cell_angle_gamma 90.00
loop_
_atom_site_label
_atom_site_fract_x
_atom_site_fract_y
_atom_site_fract_z
Sb1 0.000 0.000 0.219
As1 0.000 0.500 0.500
Os1 0.000 0.500 0.000
```



8.
A relaxed Sb2AsOs crystal, computed with PBE.

Summary:
Raw formation energy: 2.66 eV/f.u.

The structure in CIF format:
```
data_Sb2AsOs
_chemical_formula_sum 'Sb4 As2 Os2'
_space_group_name_H-M_alt 'C 1 2/m 1'
_space_group_IT_number 12
_cell_length_a 6.373
_cell_length_b 7.720
_cell_length_c 3.363
_cell_angle_alpha 90.00
_cell_angle_beta 102.66
_cell_angle_gamma 90.00
loop_
_space_group_symop_operation_xyz
'x,y,z'
'-x,-y,-z'
'-x,y,-z'
'x,-y,z'
'x+1/2,y+1/2,z'
'-x+1/2,-y+1/2,-z'
'-x+1/2,y+1/2,-z'
'x+1/2,-y+1/2,z'
loop_
_atom_site_label
_atom_site_fract_x
_atom_site_fract_y
_atom_site_fract_z
Sb1 0.250 0.250 0.000
As1 0.000 0.000 0.500
Os1 0.000 0.500 0.500
```



Look up the raw formation energy of the seventh one. 2.51 eV/f.u.



Which of these has the lowest raw formation energy? number 1